{
  "formula": "Sr2Zn6IrPt",
  "functional": "GGA-PBE",
  "state": "relaxed",
  "lattice": [[6.882, 0.001, 0.001], [0.001, 6.886, 0.001], [3.442, 3.444, 4.879]],
  "species": ["Sr", "Sr", "Zn", "Zn", "Zn", "Zn", "Zn", "Zn", "Pt", "Ir"],
  "frac_coords": [[0.250, 0.750, 0.500], [0.750, 0.250, 0.500], [0.251, 0.251, 0.000], [0.749, 0.749, 0.000], [0.749, 0.251, 0.000], [0.251, 0.251, 0.498], [0.749, 0.749, 0.502], [0.251, 0.749, 0.000], [0.000, 0.000, 0.000], [0.500, 0.500, 0.000]],
  "e_tot_ev_per_cell": -29.421,
  "space_group": "I4/mmm (139)",
  "magmom_total_mub_per_fu": 0.0
}

{
  "formula": "CaZnCd3",
  "functional": "GGA-PBE",
  "state": "relaxed",
  "lattice": [[5.062, 0.098, 1.993], [0.143, 5.061, 1.993], [0.585, 0.580, 5.016]],
  "species": ["Ca", "Cd", "Cd", "Cd", "Zn"],
  "frac_coords": [[0.592, 0.592, 0.808], [0.893, 0.297, 0.304], [0.297, 0.893, 0.304], [0.908, 0.908, 0.990], [0.311, 0.311, 0.591]],
  "e_tot_ev_per_cell": -6.919,
  "space_group": "Cm (8)",
  "magmom_total_mub_per_fu": 0.0,
  "relative_energy_mev_per_atom": 0
}

{
  "formula": "DyZn4Ni4",
  "functional": "GGA-PBE",
  "state": "relaxed",
  "lattice": [[-0.789, -0.490, -4.133], [-0.509, -7.783, 1.021], [-7.712, 0.687, 1.391]],
  "species": ["Ni", "Ni", "Ni", "Ni", "Ni", "Ni", "Ni", "Ni", "Dy", "Dy", "Zn", "Zn", "Zn", "Zn", "Zn", "Zn", "Zn", "Zn"],
  "frac_coords": [[0.010, 0.373, 0.720], [0.010, 0.627, 0.280], [0.510, 0.220, 0.127], [0.490, 0.127, 0.780], [0.490, 0.873, 0.220], [0.510, 0.780, 0.873], [0.990, 0.280, 0.373], [0.990, 0.720, 0.627], [0.500, 0.500, 0.500], [0.000, 0.000, 0.000], [0.011, 0.368, 0.084], [0.511, 0.416, 0.868], [0.511, 0.584, 0.132], [0.989, 0.916, 0.368], [0.011, 0.632, 0.916], [0.989, 0.084, 0.632], [0.489, 0.868, 0.584], [0.489, 0.132, 0.416]],
  "e_tot_ev_per_cell": -68.123,
  "space_group": "P4_2/n (86)",
  "magmom_total_mub_per_fu": 0.0
}